# CsBiP2S (GGA-PBE, relaxed)
data_CsBiP2S
_chemical_formula_sum 'Cs1 Bi1 P2 S1'
_cell_length_a 5.5421
_cell_length_b 5.5421
_cell_length_c 5.1867
_cell_angle_alpha 90.00
_cell_angle_beta 90.00
_cell_angle_gamma 90.00
_symmetry_space_group_name_H-M 'P 4/m m m'
_symmetry_Int_Tables_number 123
_symmetry_space_group_name_Hall '-P 4 2'
loop_
_atom_site_label
_atom_site_type_symbol
_atom_site_fract_x
_atom_site_fract_y
_atom_site_fract_z
_atom_site_occupancy
Cs1 Cs 0.0000 0.0000 0.0000 1
Bi1 Bi 0.5000 0.5000 0.5000 1
P1 P 0.0000 0.5000 0.0000 1
S1 S 0.0000 0.0000 0.5000 1
# **Relative energy among the computed polymorphs**: 28.29 kcal/mol of atoms
# **Raw formation energy**: 1662 meV per atom

# CsBiPS2 (GGA-PBE, relaxed)
data_CsBiPS2
_chemical_formula_sum 'Cs1 Bi1 P1 S2'
_cell_length_a 5.2489
_cell_length_b 5.2489
_cell_length_c 5.7326
_cell_angle_alpha 90.00
_cell_angle_beta 90.00
_cell_angle_gamma 90.00
_symmetry_space_group_name_H-M 'P 4/m m m'
_symmetry_Int_Tables_number 123
_symmetry_space_group_name_Hall '-P 4 2'
loop_
_atom_site_label
_atom_site_type_symbol
_atom_site_fract_x
_atom_site_fract_y
_atom_site_fract_z
_atom_site_occupancy
Cs1 Cs 0.0000 0.0000 0.0000 1
Bi1 Bi 0.5000 0.5000 0.5000 1
P1 P 0.0000 0.0000 0.5000 1
S1 S 0.0000 0.5000 0.0000 1
# **Relative energy among the computed polymorphs**: 29.87 kcal/mol of atoms
# **Raw formation energy**: 1396 meV per atom